Entry 1:
# Ag3Hg2Au2

A relaxed structure of Ag3Hg2Au2 (GGA-PBE, the Alexandria database).

Cell and atoms, written as POSCAR:
```
Ag3Hg2Au2
1.0
4.2607 0.0000 0.0000
-2.1196 4.6493 0.0000
-0.0057 -1.0174 6.7663
Ag Hg Au
3 2 2
direct
0.0000 0.0000 0.0000
0.1398 0.2779 0.4294
0.8602 0.7221 0.5706
0.2849 0.5704 0.8444
0.7151 0.4296 0.1556
0.4299 0.8582 0.2907
0.5701 0.1418 0.7093
```

Density of states at the Fermi level in states/eV/atom: 0.2649
Formation enthalpy at 0 K in eV/atom: 0.028

Entry 2:
# Ag8Hg2Au3

A relaxed structure of Ag8Hg2Au3 (GGA-PBE, the Alexandria database).

Cell and atoms, written as POSCAR:
```
Ag8Hg2Au3
1.0
2.7265 1.5742 10.3267
-2.7265 1.5742 10.3267
0.0000 -3.1483 10.3267
Ag Hg Au
8 2 3
direct
0.2252 0.2252 0.7255
0.2252 0.7255 0.2252
0.2267 0.2267 0.2267
0.2745 0.7748 0.7748
0.7255 0.2252 0.2252
0.7733 0.7733 0.7733
0.7748 0.2745 0.7748
0.7748 0.7748 0.2745
0.1379 0.1379 0.1379
0.8621 0.8621 0.8621
0.3155 0.3155 0.3155
0.5000 0.5000 0.5000
0.6845 0.6845 0.6845
```

Density of states at the Fermi level in states/eV/atom: 0.2874
Formation enthalpy at 0 K in eV/atom: 0.162

Entry 3:
# Ag2HgAu

A relaxed structure of Ag2HgAu (GGA-PBE, the Alexandria database).

Cell and atoms, written as POSCAR:
```
Ag2HgAu
1.0
-2.1113 2.1113 4.2510
2.1113 -2.1113 4.2510
2.1113 2.1113 -4.2510
Ag Hg Au
2 1 1
direct
0.2500 0.7500 0.5000
0.7500 0.2500 0.5000
0.0000 0.0000 0.0000
0.5000 0.5000 0.0000
```

Density of states at the Fermi level in states/eV/atom: 0.2379
Formation enthalpy at 0 K in eV/atom: 0.014

Entry 4:
# AgHgAu3

A relaxed structure of AgHgAu3 (GGA-PBE, the Alexandria database).

Cell and atoms, written as POSCAR:
```
AgHgAu3
1.0
5.2073 0.0000 0.0000
0.0000 5.2073 0.0000
0.0000 0.0000 5.2073
Ag Hg Au
1 1 3
direct
0.0000 0.0000 0.0000
0.5000 0.5000 0.5000
0.0000 0.5000 0.5000
0.5000 0.0000 0.5000
0.5000 0.5000 0.0000
```

Polymorph energy (0 for the lowest one) in meV/atom: 737
Density of states at the Fermi level in states/eV/atom: 0.3648
Formation enthalpy at 0 K in eV/atom: 0.765

Entry 5:
# AgHgAu

A relaxed structure of AgHgAu (GGA-PBE, the Alexandria database).

Cell and atoms, written as POSCAR:
```
AgHgAu
1.0
-1.5264 2.1021 4.5150
1.5264 -2.1021 4.5150
1.5264 2.1021 -4.5150
Ag Hg Au
1 1 1
direct
0.0000 0.0000 0.0000
0.3309 0.3309 0.0000
0.6609 0.6609 0.0000
```

Polymorph energy (0 for the lowest one) in meV/atom: 9
Density of states at the Fermi level in states/eV/atom: 0.3651
Formation enthalpy at 0 K in eV/atom: 0.047

Entry 6:
# Ag2HgAu

A relaxed structure of Ag2HgAu (GGA-PBE, the Alexandria database).

Cell and atoms, written as POSCAR:
```
Ag2HgAu
1.0
4.2178 0.0000 0.0000
0.0206 4.2297 0.0000
2.0853 2.0837 4.2427
Ag Hg Au
2 1 1
direct
0.0000 0.0000 0.0000
0.2500 0.7501 0.4998
0.7498 0.2503 0.4998
0.5002 0.5002 0.9996
```

Density of states at the Fermi level in states/eV/atom: 0.3388
Formation enthalpy at 0 K in eV/atom: 0.017

Entry 7:
# AgHgAu2

A relaxed structure of AgHgAu2 (GGA-PBE, the Alexandria database).

Cell and atoms, written as POSCAR:
```
AgHgAu2
1.0
1.5213 0.8783 9.5742
-1.5213 0.8783 9.5742
0.0000 -1.7566 9.5742
Ag Hg Au
1 1 2
direct
0.0000 0.0000 0.0000
0.7524 0.7524 0.7524
0.2538 0.2538 0.2538
0.5061 0.5061 0.5061
```

Density of states at the Fermi level in states/eV/atom: 0.2905
Formation enthalpy at 0 K in eV/atom: 0.056

Entry 8:
# AgHgAu4

A relaxed structure of AgHgAu4 (GGA-PBE, the Alexandria database).

Cell and atoms, written as POSCAR:
```
AgHgAu4
1.0
2.8724 -4.0369 0.0000
2.8724 4.0369 0.0000
-2.8511 0.0000 4.9680
Ag Hg Au
1 1 4
direct
0.0000 0.0000 0.0000
0.5000 0.5000 0.5000
0.0667 0.4309 0.7537
0.4309 0.0667 0.7537
0.5691 0.9333 0.2463
0.9333 0.5691 0.2463
```

Polymorph energy (0 for the lowest one) in meV/atom: 38
Density of states at the Fermi level in states/eV/atom: 0.2798
Formation enthalpy at 0 K in eV/atom: 0.057